Computed, not measured: crystalline NaPa3Sn12 at its relaxed geometry at the GGA-PBE level of DFT.

- Fermi-level density of states: 13.88 states/eV/f.u.
- Formation enthalpy at 0 K: -0.24 eV/atom

Unit cell a=4.656 b=4.656 c=18.774 alpha=90.00 beta=90.00 gamma=90.00
Space group P4/mmm (No. 123)
Asymmetric unit:
Na 0.000 0.000 0.000 [1 per cell]
Pa 0.000 0.000 0.257 [2 per cell]
Pa 0.000 0.000 0.500 [1 per cell]
Sn 0.000 0.500 0.127 [4 per cell]
Sn 0.000 0.500 0.377 [4 per cell]
Sn 0.500 0.500 0.000 [1 per cell]
Sn 0.500 0.500 0.252 [2 per cell]
Sn 0.500 0.500 0.500 [1 per cell]